(1)
# GeTe2Ir (PBE, optimized geometry)
data_GeTe2Ir
_chemical_formula_sum 'Ge3 Te6 Ir3'
_cell_length_a 3.0567
_cell_length_b 3.0567
_cell_length_c 35.4497
_cell_angle_alpha 90.00
_cell_angle_beta 90.00
_cell_angle_gamma 120.00
_space_group_name_H-M_alt 'R -3 m'
_space_group_IT_number 166
_space_group_name_Hall '-R 3 2"'
loop_
_atom_site_label
_atom_site_type_symbol
_atom_site_fract_x
_atom_site_fract_y
_atom_site_fract_z
_atom_site_occupancy
Ge1 Ge 0.0000 0.0000 0.0000 1
Te1 Te 0.0000 0.0000 0.4272 1
Ir1 Ir 0.0000 0.0000 0.5000 1
# - Formation energy from raw total energies: 0.532 eV per atom

(2)
# TbTmCuPd (PBE, optimized geometry)
data_TbTmCuPd
_chemical_formula_sum 'Tb2 Tm2 Cu2 Pd2'
_cell_length_a 4.5448
_cell_length_b 3.7044
_cell_length_c 10.3656
_cell_angle_alpha 90.00
_cell_angle_beta 90.00
_cell_angle_gamma 90.00
_space_group_name_H-M_alt 'A m m 2'
_space_group_IT_number 38
loop_
_space_group_symop_operation_xyz
'x,y,z'
'-x,-y,z'
'-x,y,z'
'x,-y,z'
'x,y+1/2,z+1/2'
'-x,-y+1/2,z+1/2'
'-x,y+1/2,z+1/2'
'x,-y+1/2,z+1/2'
loop_
_atom_site_label
_atom_site_type_symbol
_atom_site_fract_x
_atom_site_fract_y
_atom_site_fract_z
_atom_site_occupancy
Tb1 Tb 0.0000 0.0000 0.0000 1
Tm1 Tm 0.5000 0.0000 0.7222 1
Cu1 Cu 0.0000 0.0000 0.2810 1
Pd1 Pd 0.5000 0.0000 0.4382 1
# - Energy of formation from the pure elements: -2.44 eV/f.u.

(3)
# V3PAu (PBE, optimized geometry)
data_V3PAu
_chemical_formula_sum 'V3 P1 Au1'
_cell_length_a 4.8091
_cell_length_b 4.8091
_cell_length_c 4.8091
_cell_angle_alpha 90.00
_cell_angle_beta 90.00
_cell_angle_gamma 90.00
_space_group_name_H-M_alt 'P m -3 m'
_space_group_IT_number 221
_space_group_name_Hall '-P 4 2 3'
loop_
_atom_site_label
_atom_site_type_symbol
_atom_site_fract_x
_atom_site_fract_y
_atom_site_fract_z
_atom_site_occupancy
V1 V 0.0000 0.0000 0.5000 1
P1 P 0.5000 0.5000 0.5000 1
Au1 Au 0.0000 0.0000 0.0000 1
# - Energy of formation from the pure elements: 7.37 eV/f.u.

(4)
# Ti2CrHg (PBE, optimized geometry)
data_Ti2CrHg
_chemical_formula_sum 'Ti8 Cr4 Hg4'
_cell_length_a 3.8683
_cell_length_b 3.8683
_cell_length_c 18.8771
_cell_angle_alpha 90.00
_cell_angle_beta 90.00
_cell_angle_gamma 90.00
_space_group_name_H-M_alt 'I -4 2 d'
_space_group_IT_number 122
_space_group_name_Hall 'I -4 2bw'
loop_
_atom_site_label
_atom_site_type_symbol
_atom_site_fract_x
_atom_site_fract_y
_atom_site_fract_z
_atom_site_occupancy
Ti1 Ti 0.2328 0.2500 0.1250 1
Cr1 Cr 0.0000 0.0000 0.0000 1
Hg1 Hg 0.0000 0.0000 0.5000 1
# - Energy of formation from the pure elements: 2.78 eV/f.u.